Entry 1:
## Tb3PrRu (PBE)

Data for Tb3PrRu after structural relaxation.

- E above lowest polymorph (meV per atom) = 92
- calculated total energy (eV/cell) = -28.30
- ΔE_f (eV per formula unit) = -0.4
- total magnetic moment (μB per cell) = 0.943

Cell: 5.4340 5.4340 5.4340 Å, 90.00 90.00 90.00°
Atoms (fractional coordinates):
Tb1 0.0000 0.0000 0.5000
Tb2 0.0000 0.5000 0.0000
Tb3 0.5000 0.0000 0.0000
Pr1 0.5000 0.5000 0.5000
Ru1 0.0000 0.0000 0.0000



Entry 2:
## NaLiFe2I6 (PBE)

Data for NaLiFe2I6 after structural relaxation.

- formation energy from raw total energies (eV/atom) = -0.510
- calculated total energy (eV/cell) = -69.12
- total magnetic moment (μB per cell) = 16.000

Cell: 10.1707 10.1707 7.8122 Å, 102.44 102.44 85.94°
Atoms (fractional coordinates):
Na1 0.1094 0.8906 0.7500
Na2 0.8906 0.1094 0.2500
Li1 0.2248 0.7752 0.2500
Li2 0.7752 0.2248 0.7500
Fe1 0.2240 0.3851 0.7527
Fe2 0.3851 0.2240 0.2527
Fe3 0.6149 0.7760 0.7473
Fe4 0.7760 0.6149 0.2473
I1 0.0367 0.2007 0.6547
I2 0.1338 0.6180 0.9057
I3 0.2007 0.0367 0.1547
I4 0.2946 0.4315 0.4644
I5 0.3820 0.8662 0.5943
I6 0.4315 0.2946 0.9644
I7 0.5685 0.7054 0.0356
I8 0.6180 0.1338 0.4057
I9 0.7054 0.5685 0.5356
I10 0.7993 0.9633 0.8453
I11 0.8662 0.3820 0.0943
I12 0.9633 0.7993 0.3453



Entry 3:
## LaTl2Pd (PBE)

Data for LaTl2Pd after structural relaxation.

- calculated total energy (eV/cell) = -16.29
- ΔE_f (eV per formula unit) = -1.4
- total magnetic moment (μB per cell) = 0.000

Cell: 4.4880 4.4880 5.1405 Å, 90.00 90.00 90.00°
Atoms (fractional coordinates):
La1 0.0000 0.0000 0.0000
Tl1 0.0000 0.5000 0.5000
Tl2 0.5000 0.0000 0.5000
Pd1 0.5000 0.5000 0.0000



Entry 4:
## TiZnSeBr2 (PBE)

Data for TiZnSeBr2 after structural relaxation.

- formation energy from raw total energies (eV/atom) = -0.474
- E above lowest polymorph (meV per atom) = 0
- calculated total energy (eV/cell) = -18.37
- total magnetic moment (μB per cell) = 0.000

Cell: 5.1887 5.1887 4.9325 Å, 90.00 90.00 90.00°
Atoms (fractional coordinates):
Ti1 0.0000 0.0000 0.0000
Zn1 0.5000 0.5000 0.5000
Se1 0.0000 0.0000 0.5000
Br1 0.0000 0.5000 0.0000
Br2 0.5000 0.0000 0.0000



Entry 5:
## MnTe2Rh (PBE)

Data for MnTe2Rh after structural relaxation.

- formation energy from raw total energies (eV/atom) = -0.181
- calculated total energy (eV/cell) = -23.53
- total magnetic moment (μB per cell) = 3.304

Cell: 3.5573 3.5573 7.2451 Å, 90.00 90.00 90.00°
Atoms (fractional coordinates):
Mn1 0.0000 0.0000 0.0000
Te1 0.0000 0.0000 0.3627
Te2 0.5000 0.5000 0.8381
Rh1 0.5000 0.5000 0.2027



Entry 6:
## K4In5Au3 (PBE)

Data for K4In5Au3 after structural relaxation.

- calculated total energy (eV/cell) = -29.66
- ΔE_f (eV per formula unit) = -1.7
- total magnetic moment (μB per cell) = 0.000

Cell: 6.4330 8.1595 8.4408 Å, 91.31 112.25 100.86°
Atoms (fractional coordinates):
K1 0.0743 0.2625 0.0950
K2 0.1297 0.8543 0.3835
K3 0.8703 0.1457 0.6165
K4 0.9257 0.7375 0.9050
In1 0.3491 0.6131 0.8276
In2 0.4623 0.0000 0.8222
In3 0.5000 0.5000 0.5000
In4 0.5377 0.0000 0.1778
In5 0.6510 0.3869 0.1724
Au1 0.0000 0.5000 0.5000
Au2 0.4407 0.6577 0.1929
Au3 0.5593 0.3423 0.8071



Entry 7:
## ZrPb3C (PBE)

Data for ZrPb3C after structural relaxation.

- E above lowest polymorph (meV per atom) = 602
- calculated total energy (eV/cell) = -20.38
- ΔE_f (eV per formula unit) = 8.5
- total magnetic moment (μB per cell) = 1.824

Cell: 5.7031 5.7031 5.7031 Å, 90.00 90.00 90.00°
Atoms (fractional coordinates):
Zr1 0.0000 0.0000 0.0000
Pb1 0.0000 0.0000 0.5000
Pb2 0.0000 0.5000 0.0000
Pb3 0.5000 0.0000 0.0000
C1 0.5000 0.5000 0.5000



Entry 8:
## AcPuHgIr (PBE)

Data for AcPuHgIr after structural relaxation.

- calculated total energy (eV/cell) = -28.59
- ΔE_f (eV per formula unit) = -1.0
- total magnetic moment (μB per cell) = 5.491

Cell: 5.2794 5.2794 5.2794 Å, 60.00 60.00 60.00°
Atoms (fractional coordinates):
Ac1 0.0000 0.0000 0.0000
Pu1 0.5000 0.5000 0.5000
Hg1 0.7500 0.7500 0.7500
Ir1 0.2500 0.2500 0.2500



Entry 9:
## SnBi2H2Pd7 (PBE)

Data for SnBi2H2Pd7 after structural relaxation.

- calculated total energy (eV/cell) = -58.50
- total magnetic moment (μB per cell) = 0.000

Cell: 4.0760 4.0760 11.7868 Å, 99.88 99.88 90.01°
Atoms (fractional coordinates):
Sn1 0.0000 0.0000 0.0000
Bi1 0.1976 0.1976 0.3978
Bi2 0.8024 0.8024 0.6022
H1 0.4138 0.4138 0.8235
H2 0.5862 0.5862 0.1765
Pd1 0.0869 0.5867 0.1747
Pd2 0.3255 0.3255 0.6485
Pd3 0.4133 0.9131 0.8253
Pd4 0.5000 0.5000 0.0000
Pd5 0.5867 0.0869 0.1747
Pd6 0.6745 0.6745 0.3515
Pd7 0.9131 0.4133 0.8253



Entry 10:
## TeAs2Br (PBE)

Data for TeAs2Br after structural relaxation.

- formation energy from raw total energies (eV/atom) = 0.118
- E above lowest polymorph (meV per atom) = 159
- calculated total energy (eV/cell) = -13.64
- total magnetic moment (μB per cell) = 0.000

Cell: 7.1800 7.1800 7.1800 Å, 148.28 144.51 48.33°
Atoms (fractional coordinates):
Te1 0.0000 0.0000 0.0000
As1 0.3566 0.8566 0.5000
As2 0.4964 0.4964 0.0000
Br1 0.7443 0.2443 0.5000



Entry 11:
## Sr3LiNd3Se8 (PBE)

Data for Sr3LiNd3Se8 after structural relaxation.

- formation energy from raw total energies (eV/atom) = -1.822
- calculated total energy (eV/cell) = -76.47
- total magnetic moment (μB per cell) = 0.000

Cell: 8.6845 8.6845 8.6845 Å, 59.00 59.00 59.00°
Atoms (fractional coordinates):
Sr1 0.0000 0.5000 0.5000
Sr2 0.5000 0.0000 0.5000
Sr3 0.5000 0.5000 0.0000
Li1 0.5000 0.5000 0.5000
Nd1 0.0000 0.0000 0.5000
Nd2 0.0000 0.5000 0.0000
Nd3 0.5000 0.0000 0.0000
Se1 0.2453 0.7413 0.7413
Se2 0.2462 0.2462 0.2462
Se3 0.2587 0.2587 0.7547
Se4 0.2587 0.7547 0.2587
Se5 0.7413 0.2453 0.7413
Se6 0.7413 0.7413 0.2453
Se7 0.7538 0.7538 0.7538
Se8 0.7547 0.2587 0.2587



Entry 12:
## Ac2Tl3Cd6 (PBE)

Data for Ac2Tl3Cd6 after structural relaxation.

- calculated total energy (eV/cell) = -21.36
- ΔE_f (eV per formula unit) = -0.6
- total magnetic moment (μB per cell) = 0.000

Cell: 8.7799 8.7799 4.3801 Å, 90.00 90.00 94.52°
Atoms (fractional coordinates):
Ac1 0.2064 0.7936 0.0000
Ac2 0.7936 0.2064 0.0000
Tl1 0.2871 0.2871 0.0000
Tl2 0.5000 0.5000 0.5000
Tl3 0.7129 0.7129 0.0000
Cd1 0.1148 0.1148 0.5000
Cd2 0.1517 0.4757 0.5000
Cd3 0.4757 0.1517 0.5000
Cd4 0.5243 0.8483 0.5000
Cd5 0.8483 0.5243 0.5000
Cd6 0.8852 0.8852 0.5000



Entry 13:
## Pr6SmHo3 (PBE)

Data for Pr6SmHo3 after structural relaxation.

- E above lowest polymorph (meV per atom) = 0
- calculated total energy (eV/cell) = -91.48
- ΔE_f (eV per formula unit) = 1.4
- total magnetic moment (μB per cell) = 0.000

Cell: 11.1740 11.1740 6.4398 Å, 90.00 90.00 120.77°
Atoms (fractional coordinates):
Pr1 0.0350 0.9650 0.5000
Pr2 0.0588 0.4762 0.0007
Pr3 0.2819 0.7181 0.7175
Pr4 0.2906 0.3704 0.8190
Pr5 0.3704 0.2906 0.3190
Pr6 0.4762 0.0588 0.5007
Pr7 0.5238 0.9412 0.0007
Pr8 0.6296 0.7094 0.8190
Pr9 0.7094 0.6296 0.3190
Pr10 0.7181 0.2819 0.2175
Pr11 0.9412 0.5238 0.5007
Pr12 0.9650 0.0350 0.0000
Sm1 0.1937 0.8063 0.2599
Sm2 0.8063 0.1937 0.7599
Ho1 0.0564 0.2889 0.4070
Ho2 0.2889 0.0564 0.9070
Ho3 0.3838 0.6162 0.2804
Ho4 0.6162 0.3838 0.7804
Ho5 0.7111 0.9436 0.4070
Ho6 0.9436 0.7111 0.9070



Entry 14:
## Ta7Cu3O19 (PBE)

Data for Ta7Cu3O19 after structural relaxation.

- formation energy from raw total energies (eV/atom) = -2.429
- calculated total energy (eV/cell) = -519.83
- total magnetic moment (μB per cell) = 0.000

Cell: 6.2854 6.2854 20.4323 Å, 90.00 90.00 120.00°
Atoms (fractional coordinates):
Ta1 0.0000 0.0000 0.0000
Ta2 0.0000 0.0000 0.5000
Ta3 0.0287 0.6935 0.1567
Ta4 0.0287 0.6935 0.3433
Ta5 0.3065 0.3352 0.1567
Ta6 0.3065 0.3352 0.3433
Ta7 0.3352 0.0287 0.6567
Ta8 0.3352 0.0287 0.8433
Ta9 0.6648 0.9713 0.1567
Ta10 0.6648 0.9713 0.3433
Ta11 0.6935 0.6648 0.6567
Ta12 0.6935 0.6648 0.8433
Ta13 0.9713 0.3065 0.6567
Ta14 0.9713 0.3065 0.8433
Cu1 0.0000 0.5000 0.0000
Cu2 0.0000 0.5000 0.5000
Cu3 0.5000 0.0000 0.0000
Cu4 0.5000 0.0000 0.5000
Cu5 0.5000 0.5000 0.0000
Cu6 0.5000 0.5000 0.5000
O1 0.0000 0.0000 0.1620
O2 0.0000 0.0000 0.3380
O3 0.0000 0.0000 0.6620
O4 0.0000 0.0000 0.8380
O5 0.0276 0.7509 0.0565
O6 0.0276 0.7509 0.4435
O7 0.0713 0.7114 0.2500
O8 0.0861 0.6658 0.6544
O9 0.0861 0.6658 0.8456
O10 0.2491 0.2767 0.0565
O11 0.2491 0.2767 0.4435
O12 0.2767 0.0276 0.5565
O13 0.2767 0.0276 0.9435
O14 0.2886 0.3599 0.2500
O15 0.3333 0.6667 0.1384
O16 0.3333 0.6667 0.3616
O17 0.3342 0.4203 0.6544
O18 0.3342 0.4203 0.8456
O19 0.3599 0.0713 0.7500
O20 0.4203 0.0861 0.1544
O21 0.4203 0.0861 0.3456
O22 0.5797 0.9139 0.6544
O23 0.5797 0.9139 0.8456
O24 0.6401 0.9287 0.2500
O25 0.6658 0.5797 0.1544
O26 0.6658 0.5797 0.3456
O27 0.6667 0.3333 0.6384
O28 0.6667 0.3333 0.8616
O29 0.7114 0.6401 0.7500
O30 0.7233 0.9724 0.0565
O31 0.7233 0.9724 0.4435
O32 0.7509 0.7233 0.5565
O33 0.7509 0.7233 0.9435
O34 0.9139 0.3342 0.1544
O35 0.9139 0.3342 0.3456
O36 0.9287 0.2886 0.7500
O37 0.9724 0.2491 0.5565
O38 0.9724 0.2491 0.9435



Entry 15:
## Y5HgTe4 (PBE)

Data for Y5HgTe4 after structural relaxation.

- formation energy from raw total energies (eV/atom) = -1.183
- calculated total energy (eV/cell) = -57.01
- total magnetic moment (μB per cell) = 0.000

Cell: 7.5591 7.5591 7.5591 Å, 99.59 99.59 131.82°
Atoms (fractional coordinates):
Y1 0.0000 0.0000 0.0000
Y2 0.2118 0.5988 0.8105
Y3 0.4012 0.2118 0.6130
Y4 0.5988 0.7882 0.3870
Y5 0.7882 0.4012 0.1895
Hg1 0.5000 0.5000 0.0000
Te1 0.0943 0.3039 0.3982
Te2 0.3039 0.9057 0.2096
Te3 0.6961 0.0943 0.7904
Te4 0.9057 0.6961 0.6018



Entry 16:
## Th2CuGe3Pt4 (PBE)

Data for Th2CuGe3Pt4 after structural relaxation.

- calculated total energy (eV/cell) = -65.64
- ΔE_f (eV per formula unit) = -8.7
- total magnetic moment (μB per cell) = 0.000

Cell: 4.3495 4.3495 10.0967 Å, 90.00 90.00 90.00°
Atoms (fractional coordinates):
Th1 0.0000 0.5000 0.2485
Th2 0.5000 0.0000 0.7515
Cu1 0.5000 0.5000 0.0000
Ge1 0.0000 0.0000 0.0000
Ge2 0.0000 0.5000 0.6320
Ge3 0.5000 0.0000 0.3680
Pt1 0.0000 0.0000 0.5000
Pt2 0.0000 0.5000 0.8735
Pt3 0.5000 0.0000 0.1265
Pt4 0.5000 0.5000 0.5000



Entry 17:
## BaBe3Sb (PBE)

Data for BaBe3Sb after structural relaxation.

- formation energy from raw total energies (eV/atom) = 0.831
- E above lowest polymorph (meV per atom) = 0
- calculated total energy (eV/cell) = -13.07
- total magnetic moment (μB per cell) = 0.000

Cell: 4.9370 4.9370 4.9370 Å, 90.00 90.00 90.00°
Atoms (fractional coordinates):
Ba1 0.0000 0.0000 0.0000
Be1 0.0000 0.5000 0.5000
Be2 0.5000 0.0000 0.5000
Be3 0.5000 0.5000 0.0000
Sb1 0.5000 0.5000 0.5000



Entry 18:
## Ce3Y2ThTe6 (PBE)

Data for Ce3Y2ThTe6 after structural relaxation.

- formation energy from raw total energies (eV/atom) = -1.296
- calculated total energy (eV/cell) = -72.55
- total magnetic moment (μB per cell) = 3.526

Cell: 9.9367 9.9367 8.9540 Å, 103.01 103.01 25.65°
Atoms (fractional coordinates):
Ce1 0.0000 0.0000 0.0000
Ce2 0.3366 0.3366 0.6659
Ce3 0.6634 0.6634 0.3341
Y1 0.3341 0.3341 0.1679
Y2 0.6659 0.6659 0.8321
Th1 0.0000 0.0000 0.5000
Te1 0.1695 0.1695 0.0785
Te2 0.1688 0.1688 0.5926
Te3 0.4961 0.4961 0.2459
Te4 0.5039 0.5039 0.7541
Te5 0.8312 0.8312 0.4074
Te6 0.8305 0.8305 0.9215



Entry 19:
## LiLaThAl (PBE)

Data for LiLaThAl after structural relaxation.

- calculated total energy (eV/cell) = -18.38
- ΔE_f (eV per formula unit) = -0.4
- total magnetic moment (μB per cell) = 0.000

Cell: 5.3055 5.3055 5.3055 Å, 60.00 60.00 60.00°
Atoms (fractional coordinates):
Li1 0.0000 0.0000 0.0000
La1 0.2500 0.2500 0.2500
Th1 0.7500 0.7500 0.7500
Al1 0.5000 0.5000 0.5000



Entry 20:
## Pr12Dy2Tl (PBE)

Data for Pr12Dy2Tl after structural relaxation.

- calculated total energy (eV/cell) = -130.81
- ΔE_f (eV per formula unit) = 3.5
- total magnetic moment (μB per cell) = 0.000

Cell: 6.7857 6.7857 24.1051 Å, 90.00 90.00 90.00°
Atoms (fractional coordinates):
Pr1 0.0049 0.5049 0.0929
Pr2 0.0049 0.9951 0.9071
Pr3 0.0835 0.5835 0.5656
Pr4 0.0835 0.9165 0.4344
Pr5 0.2500 0.2500 0.1998
Pr6 0.2500 0.2500 0.3273
Pr7 0.2500 0.2500 0.6727
Pr8 0.2500 0.2500 0.8002
Pr9 0.4165 0.5835 0.4344
Pr10 0.4165 0.9165 0.5656
Pr11 0.4951 0.5049 0.9071
Pr12 0.4951 0.9951 0.0929
Pr13 0.5049 0.0049 0.9071
Pr14 0.5049 0.4951 0.0929
Pr15 0.5835 0.0835 0.4344
Pr16 0.5835 0.4165 0.5656
Pr17 0.7500 0.7500 0.1998
Pr18 0.7500 0.7500 0.3273
Pr19 0.7500 0.7500 0.6727
Pr20 0.7500 0.7500 0.8002
Pr21 0.9165 0.0835 0.5656
Pr22 0.9165 0.4165 0.4344
Pr23 0.9951 0.0049 0.0929
Pr24 0.9951 0.4951 0.9071
Dy1 0.2500 0.7500 0.2479
Dy2 0.2500 0.7500 0.7521
Dy3 0.7500 0.2500 0.2479
Dy4 0.7500 0.2500 0.7521
Tl1 0.2500 0.7500 0.0000
Tl2 0.7500 0.2500 0.0000